DFT (PBE) results for an optimized crystal structure of AuC2.

```
AuC2
1.0
3.138 0.000 0.000
0.000 8.206 0.000
0.000 0.000 8.545
Au C
4 8
direct
0.750 0.358 0.750
0.250 0.142 0.250
0.750 0.858 0.750
0.250 0.642 0.250
0.250 0.186 0.750
0.750 0.814 0.250
0.250 0.686 0.750
0.750 0.314 0.250
0.250 0.529 0.750
0.750 0.471 0.250
0.250 0.029 0.750
0.750 0.971 0.250
```

Properties
Energy of formation from the pure elements: 1.268 eV/atom
Mass density: 6.670 g cm⁻³
DOS(E_F): 1.745 states/eV/cell
Energy above the lowest structure with this stoichiometry: 1002 meV per atom